A relaxed structure of Rb4Tm3MoO8. Source: the Alexandria database, functional PBE+U.

```
data_Rb4Tm3MoO8
_space_group_name_H-M_alt 'R -3 m'
_space_group_IT_number 166
_space_group_name_Hall '-R 3 2"'
_cell_length_a 6.8468
_cell_length_b 6.8468
_cell_length_c 19.5032
_cell_angle_alpha 90.00
_cell_angle_beta 90.00
_cell_angle_gamma 120.00
loop_
_atom_site_label
_atom_site_fract_x
_atom_site_fract_y
_atom_site_fract_z
_atom_site_occupancy
Rb1 0.0000 0.0000 0.0000 1
Rb2 0.0000 0.5000 0.0000 1
Tm1 0.0000 0.5000 0.5000 1
Mo1 0.0000 0.0000 0.5000 1
O1 0.0000 0.0000 0.2245 1
O2 0.0031 0.5015 0.2243 1
```

V (Å³/cell): 791.83
DFT total energy (eV for the cell shown): -309.25